Record 1
The following is a DFT calculation (GGA-PBE) of a geometry-optimized CaTl3Cu2Cl9 structure.

Calculated values
The formation energy (no corrections) is -1.04 eV per atom.

abc: 7.0930 7.0930 8.8732
angles: 90.00 90.00 120.00
Last column: nearest neighbours and their distance in Å.
Positions (direct):
Ca 0.0000 0.0000 0.0000  6 Cl 2.69
Tl 0.0000 0.0000 0.5000  12 Cl 3.50-3.55
Tl 0.3333 0.6667 0.1909  9 Cl 3.42-3.55
Tl 0.6667 0.3333 0.8091  9 Cl 3.42-3.55
Cu 0.3333 0.6667 0.6565  6 Cl 2.41-2.47
Cu 0.6667 0.3333 0.3435  6 Cl 2.41-2.47
Cl 0.0000 0.5000 0.5000  2 Cu 2.47
Cl 0.1730 0.3461 0.8137  1 Cu 2.41, 1 Ca 2.69
Cl 0.1730 0.8270 0.8137  1 Cu 2.41, 1 Ca 2.69
Cl 0.3461 0.1730 0.1863  1 Cu 2.41, 1 Ca 2.69
Cl 0.5000 0.0000 0.5000  2 Cu 2.47
Cl 0.5000 0.5000 0.5000  2 Cu 2.47
Cl 0.6539 0.8270 0.8137  1 Cu 2.41, 1 Ca 2.69
Cl 0.8270 0.1730 0.1863  1 Cu 2.41, 1 Ca 2.69
Cl 0.8270 0.6539 0.1863  1 Cu 2.41, 1 Ca 2.69

---

Record 2
The following is a DFT calculation (GGA-PBE) of a geometry-optimized CaTlCuCl4 structure.

Calculated values
The formation energy (no corrections) is -1.42 eV per atom.

abc: 6.5130 6.9941 8.7710
angles: 90.00 109.91 90.00
Last column: nearest neighbours and their distance in Å.
Positions (direct):
Ca 0.2193 0.2500 0.0532  6 Cl 2.71-2.85
Ca 0.7807 0.7500 0.9468  6 Cl 2.71-2.85
Tl 0.2522 0.2500 0.5618  2 Cl 3.04-3.22
Tl 0.7478 0.7500 0.4382  2 Cl 3.04-3.22
Cu 0.2180 0.7500 0.8097  4 Cl 2.28-2.38
Cu 0.7820 0.2500 0.1903  4 Cl 2.28-2.38
Cl 0.0189 0.5055 0.2073  1 Cu 2.33
Cl 0.0189 0.9945 0.2073  1 Cu 2.33
Cl 0.4331 0.7500 0.6524  1 Cu 2.28
Cl 0.4626 0.7500 0.0818  1 Cu 2.38
Cl 0.5374 0.2500 0.9182  1 Cu 2.38
Cl 0.5669 0.2500 0.3476  1 Cu 2.28
Cl 0.9811 0.0055 0.7927  1 Cu 2.33
Cl 0.9811 0.4945 0.7927  1 Cu 2.33

---

Record 3
The following is a DFT calculation (GGA-PBE) of a geometry-optimized CaTlCu2Cl8 structure.

Calculated values
The formation energy (no corrections) is -0.98 eV per atom.

abc: 6.4357 6.6372 7.3887
angles: 90.05 90.09 97.06
Last column: nearest neighbours and their distance in Å.
Positions (direct):
Ca 0.0000 0.0000 0.0000  6 Cl 2.69-2.81
Tl 0.0000 0.0000 0.5000  6 Cl 2.60-2.82
Cu 0.5001 0.5001 0.2474  4 Cl 2.38-2.41
Cu 0.4999 0.4999 0.7526  4 Cl 2.38-2.41
Cl 0.2102 0.8241 0.2587  1 Tl 2.60, 1 Ca 2.69
Cl 0.2105 0.8244 0.7416  1 Tl 2.60, 1 Ca 2.69
Cl 0.3067 0.3396 0.0003  2 Cu 2.38-2.39
Cl 0.3116 0.3388 0.5002  2 Cu 2.40-2.41
Cl 0.6884 0.6612 0.4998  2 Cu 2.40-2.41
Cl 0.6933 0.6604 0.9997  2 Cu 2.38-2.39
Cl 0.7895 0.1756 0.2584  1 Tl 2.60, 1 Ca 2.69
Cl 0.7898 0.1759 0.7413  1 Tl 2.60, 1 Ca 2.69